# 1
DyHo12Sc7 after structural relaxation. Source: Alexandria via LeMat-Bulk, functional PBE.

Output
Polymorph energy (0 for the lowest one), meV/atom: 516
Space group: Im-3m
DFT total energy, eV per atom: -4.5043

Lattice parameters (Å, degrees): 9.4458 9.4458 9.4458 109.47 109.47 109.47
Sites, in units of the cell vectors:
Dy (0.0000, 0.0000, 0.0000)
Ho (0.0000, 0.2592, 0.7408)
Ho (0.0000, 0.7408, 0.2592)
Ho (0.2592, 0.0000, 0.7408)
Ho (0.2592, 0.2592, 0.5184)
Ho (0.2592, 0.5184, 0.2592)
Ho (0.2592, 0.7408, 0.0000)
Ho (0.4816, 0.7408, 0.7408)
Ho (0.5184, 0.2592, 0.2592)
Ho (0.7408, 0.0000, 0.2592)
Ho (0.7408, 0.2592, 0.0000)
Ho (0.7408, 0.4816, 0.7408)
Ho (0.7408, 0.7408, 0.4816)
Sc (0.0000, 0.0000, 0.5000)
Sc (0.0000, 0.5000, 0.0000)
Sc (0.0000, 0.5000, 0.5000)
Sc (0.5000, 0.0000, 0.0000)
Sc (0.5000, 0.0000, 0.5000)
Sc (0.5000, 0.5000, 0.0000)
Sc (0.5000, 0.5000, 0.5000)

***

# 2
Dy5Ho4Sc2 after structural relaxation. Source: Alexandria via LeMat-Bulk, functional PBE.

Output
Polymorph energy (0 for the lowest one), meV/atom: 0
Space group: P-1
DFT total energy, eV per atom: -4.8543

Lattice parameters (Å, degrees): 3.5961 8.9712 11.0338 108.25 99.37 90.01
Sites, in units of the cell vectors:
Dy (0.0000, 0.0000, 0.0000)
Dy (0.1678, 0.9316, 0.3361)
Dy (0.2692, 0.3446, 0.5380)
Dy (0.7308, 0.6554, 0.4620)
Dy (0.8322, 0.0684, 0.6639)
Ho (0.3726, 0.7585, 0.7440)
Ho (0.4780, 0.2961, 0.9556)
Ho (0.5220, 0.7039, 0.0444)
Ho (0.6274, 0.2415, 0.2560)
Sc (0.0997, 0.5271, 0.2002)
Sc (0.9003, 0.4729, 0.7998)

***

# 3
Dy8HoSc2 after structural relaxation. Source: Alexandria via LeMat-Bulk, functional PBE.

Output
Polymorph energy (0 for the lowest one), meV/atom: 48
Space group: C2/m
DFT total energy, eV per atom: -4.7425

Lattice parameters (Å, degrees): 9.0867 9.0867 5.7677 105.64 105.64 121.74
Sites, in units of the cell vectors:
Dy (0.0968, 0.3387, 0.6770)
Dy (0.2075, 0.7925, 0.0000)
Dy (0.3387, 0.0968, 0.6770)
Dy (0.4305, 0.4305, 0.2076)
Dy (0.5695, 0.5695, 0.7924)
Dy (0.6613, 0.9032, 0.3230)
Dy (0.7925, 0.2075, 0.0000)
Dy (0.9032, 0.6613, 0.3230)
Ho (0.0000, 0.0000, 0.0000)
Sc (0.3103, 0.6897, 0.5000)
Sc (0.6897, 0.3103, 0.5000)

***

# 4
Dy15Ho4Sc after structural relaxation. Source: Alexandria via LeMat-Bulk, functional PBE.

Output
Space group: P4/mmm
DFT total energy, eV per atom: -4.6609

Lattice parameters (Å, degrees): 4.9888 4.9888 24.8931 90.00 90.00 90.00
Sites, in units of the cell vectors:
Dy (0.0000, 0.0000, 0.0000)
Dy (0.0000, 0.0000, 0.1977)
Dy (0.0000, 0.0000, 0.3993)
Dy (0.0000, 0.0000, 0.6007)
Dy (0.0000, 0.0000, 0.8023)
Dy (0.0000, 0.5000, 0.0970)
Dy (0.0000, 0.5000, 0.2985)
Dy (0.0000, 0.5000, 0.5000)
Dy (0.0000, 0.5000, 0.7015)
Dy (0.0000, 0.5000, 0.9030)
Dy (0.5000, 0.0000, 0.0970)
Dy (0.5000, 0.0000, 0.2985)
Dy (0.5000, 0.0000, 0.5000)
Dy (0.5000, 0.0000, 0.7015)
Dy (0.5000, 0.0000, 0.9030)
Ho (0.5000, 0.5000, 0.1981)
Ho (0.5000, 0.5000, 0.3993)
Ho (0.5000, 0.5000, 0.6007)
Ho (0.5000, 0.5000, 0.8019)
Sc (0.5000, 0.5000, 0.0000)

***

- Among the records above, which one has the lowest DFT total energy?
  Dy5Ho4Sc2